A relaxed Pr4IrPb2 crystal. Source: Alexandria, functional PBE.

abc: 11.959 4.718 9.076
angles: 90.00 121.06 90.00
Space group C2/m (No. 12)
Unique sites:
Pr 0.071 0.000 0.349 [4 per cell]
Pr 0.168 0.500 0.059 [4 per cell]
Ir 0.000 0.000 0.000 [2 per cell]
Pb 0.147 0.500 0.659 [4 per cell]

ΔE_f   -0.5518 eV/atom
Relative energy among the computed polymorphs   0.000 eV per atom
V   31.336 Å³/atom